(1)
Sm2Ga3IrPt4: relaxed, PBE.

CIF file:
```
data_Sm2Ga3IrPt4
_cell_length_a 4.0920
_cell_length_b 4.0920
_cell_length_c 11.3277
_cell_angle_alpha 90.00
_cell_angle_beta 90.00
_cell_angle_gamma 90.00
_symmetry_space_group_name_H-M 'P 1'
_symmetry_Int_Tables_number 1
loop_
_symmetry_equiv_pos_as_xyz
'x,y,z'
loop_
_atom_site_label
_atom_site_type_symbol
_atom_site_fract_x
_atom_site_fract_y
_atom_site_fract_z
Sm1 Sm 0.5000 0.0000 0.2565
Sm2 Sm 0.0000 0.5000 0.7435
Pt1 Pt 0.5000 0.5000 0.0000
Pt2 Pt 0.5000 0.0000 0.6509
Pt3 Pt 0.0000 0.0000 0.0000
Pt4 Pt 0.0000 0.5000 0.3491
Ir1 Ir 0.5000 0.5000 0.5000
Ga1 Ga 0.0000 0.5000 0.1320
Ga2 Ga 0.5000 0.0000 0.8680
Ga3 Ga 0.0000 0.0000 0.5000
```

Results
M_tot = 0.0 μB per cell
energy of formation = -80 kJ per mole of atoms

***

(2)
TbTh2CoC2: relaxed, PBE.

CIF file:
```
data_TbTh2CoC2
_cell_length_a 3.7196
_cell_length_b 5.7334
_cell_length_c 11.0546
_cell_angle_alpha 90.00
_cell_angle_beta 90.00
_cell_angle_gamma 90.00
_symmetry_space_group_name_H-M 'P 1'
_symmetry_Int_Tables_number 1
loop_
_symmetry_equiv_pos_as_xyz
'x,y,z'
loop_
_atom_site_label
_atom_site_type_symbol
_atom_site_fract_x
_atom_site_fract_y
_atom_site_fract_z
Th1 Th 0.5000 0.9825 0.7982
Th2 Th 0.5000 0.0175 0.2018
Th3 Th 0.0000 0.4825 0.7018
Th4 Th 0.0000 0.5175 0.2982
Tb1 Tb 0.0000 0.0000 0.5000
Tb2 Tb 0.5000 0.5000 0.0000
C1 C 0.0000 0.7402 0.8872
C2 C 0.0000 0.2598 0.1128
C3 C 0.5000 0.7598 0.3872
C4 C 0.5000 0.2402 0.6128
Co1 Co 0.5000 0.5000 0.5000
Co2 Co 0.0000 0.0000 0.0000
```

Results
M_tot = 0.0 μB per cell
energy of formation = -18 kJ per mole of atoms

***

(3)
PmSmAg: relaxed, PBE.

CIF file:
```
data_PmSmAg
_cell_length_a 5.1378
_cell_length_b 5.1378
_cell_length_c 5.1378
_cell_angle_alpha 60.00
_cell_angle_beta 60.00
_cell_angle_gamma 60.00
_symmetry_space_group_name_H-M 'P 1'
_symmetry_Int_Tables_number 1
loop_
_symmetry_equiv_pos_as_xyz
'x,y,z'
loop_
_atom_site_label
_atom_site_type_symbol
_atom_site_fract_x
_atom_site_fract_y
_atom_site_fract_z
Pm1 Pm 0.0000 0.0000 0.0000
Sm1 Sm 0.5000 0.5000 0.5000
Ag1 Ag 0.2500 0.2500 0.2500
```

Results
polymorph energy (0 for the lowest one) = 0.74 eV per formula unit
M_tot = 0.8 μB per cell
energy of formation = 8 kJ per mole of atoms

***

(4)
Nd3Ga8Ag3: relaxed, PBE.

CIF file:
```
data_Nd3Ga8Ag3
_cell_length_a 4.3993
_cell_length_b 8.5096
_cell_length_c 8.5096
_cell_angle_alpha 68.91
_cell_angle_beta 75.02
_cell_angle_gamma 75.02
_symmetry_space_group_name_H-M 'P 1'
_symmetry_Int_Tables_number 1
loop_
_symmetry_equiv_pos_as_xyz
'x,y,z'
loop_
_atom_site_label
_atom_site_type_symbol
_atom_site_fract_x
_atom_site_fract_y
_atom_site_fract_z
Ga1 Ga 0.1595 0.4729 0.2081
Ga2 Ga 0.8405 0.5271 0.7919
Ga3 Ga 0.6436 0.0760 0.6368
Ga4 Ga 0.8405 0.7919 0.5271
Ga5 Ga 0.3564 0.3632 0.9240
Ga6 Ga 0.3564 0.9240 0.3632
Ga7 Ga 0.1595 0.2081 0.4729
Ga8 Ga 0.6436 0.6368 0.0760
Ag1 Ag 0.0000 0.1991 0.8009
Ag2 Ag 0.5000 0.0000 0.0000
Ag3 Ag 0.0000 0.8009 0.1991
Nd1 Nd 0.8019 0.1981 0.1981
Nd2 Nd 0.1981 0.8019 0.8019
Nd3 Nd 0.5000 0.5000 0.5000
```

Results
M_tot = 0.0 μB per cell
energy of formation = -47 kJ per mole of atoms

***

(5)
Sc3As2: relaxed, PBE.

CIF file:
```
data_Sc3As2
_cell_length_a 9.3184
_cell_length_b 9.3184
_cell_length_c 9.3184
_cell_angle_alpha 23.65
_cell_angle_beta 23.65
_cell_angle_gamma 23.65
_symmetry_space_group_name_H-M 'P 1'
_symmetry_Int_Tables_number 1
loop_
_symmetry_equiv_pos_as_xyz
'x,y,z'
loop_
_atom_site_label
_atom_site_type_symbol
_atom_site_fract_x
_atom_site_fract_y
_atom_site_fract_z
Sc1 Sc 0.0000 0.0000 0.0000
Sc2 Sc 0.7807 0.7807 0.7807
Sc3 Sc 0.2193 0.2193 0.2193
As1 As 0.6073 0.6073 0.6073
As2 As 0.3927 0.3927 0.3927
```

Results
polymorph energy (0 for the lowest one) = 0.87 eV per formula unit
M_tot = 0.6 μB per cell
energy of formation = -96 kJ per mole of atoms

***

(6)
BeOs2: relaxed, PBE.

CIF file:
```
data_BeOs2
_cell_length_a 4.2064
_cell_length_b 4.2064
_cell_length_c 4.9597
_cell_angle_alpha 90.00
_cell_angle_beta 90.00
_cell_angle_gamma 120.00
_symmetry_space_group_name_H-M 'P 1'
_symmetry_Int_Tables_number 1
loop_
_symmetry_equiv_pos_as_xyz
'x,y,z'
loop_
_atom_site_label
_atom_site_type_symbol
_atom_site_fract_x
_atom_site_fract_y
_atom_site_fract_z
Be1 Be 0.6667 0.3333 0.7500
Be2 Be 0.3333 0.6667 0.2500
Os1 Os 0.0000 0.0000 0.5000
Os2 Os 0.0000 0.0000 0.0000
Os3 Os 0.3333 0.6667 0.7500
Os4 Os 0.6667 0.3333 0.2500
```

Results
M_tot = 0.0 μB per cell
energy of formation = 32 kJ per mole of atoms